(1)
Zr2CuMo: optimized geometry, PBE-GGA.

Unit cell a=2.9923 b=2.9923 c=8.5906 alpha=90.00 beta=90.00 gamma=107.08
With the nearest neighbours (Å) after each atom.
Element x y z (fractional)
Zr (0.0000, 0.0000, 0.2487)  2 Cu 2.78, 2 Mo 2.80, 4 Zr 2.99
Zr (0.0000, 0.0000, 0.7513)  2 Cu 2.78, 2 Mo 2.80, 4 Zr 2.99
Cu (0.5000, 0.5000, 0.0000)  4 Zr 2.78, 4 Cu 2.99
Mo (0.5000, 0.5000, 0.5000)  4 Zr 2.80, 4 Mo 2.99

## Properties
- M_tot: 0.00 μB/f.u.
- Total energy: -7.9608 eV/atom


(2)
Li7Zn4In: optimized geometry, PBE-GGA.

Unit cell a=6.6982 b=6.6982 c=8.1324 alpha=119.29 beta=119.29 gamma=43.30
With the nearest neighbours (Å) after each atom.
Element x y z (fractional)
Li (0.0000, 0.0000, 0.0000)  2 In 2.47, 2 Zn 2.53
Li (0.2442, 0.2442, 0.7034)  4 Zn 2.54-2.74, 1 In 2.81
Li (0.2935, 0.2935, 0.1161)  3 Zn 2.86-3.09, 6 Li 2.95-3.08, 1 In 3.17
Li (0.4262, 0.4262, 0.5847)  3 Zn 2.60-2.73, 2 Li 2.82-2.89
Li (0.5738, 0.5738, 0.4153)  3 Zn 2.60-2.73, 2 Li 2.82-2.89
Li (0.7065, 0.7065, 0.8839)  3 Zn 2.86-3.09, 6 Li 2.95-3.08, 1 In 3.17
Li (0.7558, 0.7558, 0.2966)  4 Zn 2.54-2.74, 1 In 2.81
Zn (0.0361, 0.0361, 0.6903)  4 Li 2.54-2.78, 2 Zn 2.57-2.73
Zn (0.1825, 0.1825, 0.3473)  5 Li 2.53-2.74, 1 Zn 2.57
Zn (0.8175, 0.8175, 0.6527)  5 Li 2.53-2.74, 1 Zn 2.57
Zn (0.9639, 0.9639, 0.3097)  4 Li 2.54-2.78, 2 Zn 2.57-2.73
In (0.5000, 0.5000, 0.0000)  2 Li 2.47

## Properties
- M_tot: 0.00 μB/f.u.
- Total energy: -1.8284 eV/atom


(3)
Hg2BrCl: optimized geometry, PBE-GGA.

Unit cell a=4.1924 b=4.1924 c=8.8295 alpha=90.00 beta=90.00 gamma=123.35
With the nearest neighbours (Å) after each atom.
Element x y z (fractional)
Hg (0.0000, 0.0000, 0.0000)  2 Cl 2.63, 2 Hg 2.91
Hg (0.5000, 0.5000, 0.2408)  2 Br 2.73, 2 Hg 2.91
Br (0.0000, 0.0000, 0.4533)  2 Hg 2.73
Cl (0.5000, 0.5000, 0.8053)  2 Hg 2.63

## Properties
- M_tot: 0.00 μB/f.u.
- Total energy: -1.2751 eV/atom


> Among the records above, which one has the lowest total energy?

Zr2CuMo